1.
AlTeMo2 SCAN PBEsol geometry; energy relative to the elements, uncorrected = 0.27 eV/atom; space-group type = C2/m (12); M_tot = 0.000 μB per formula unit; ΔE to the lowest computed polymorph = 36 meV per atom
1.0
4.465 -1.635 0.000
4.465 1.635 0.000
-0.742 0.000 4.788
Al Te Mo
1 1 2
Direct
0.000 0.000 0.000
0.500 0.500 0.500
0.250 0.250 0.796
0.750 0.750 0.204

2.
AlTeMo2 SCAN PBEsol geometry; energy relative to the elements, uncorrected = 0.36 eV/atom; space-group type = Cmm2 (35); M_tot = 0.000 μB per formula unit; ΔE to the lowest computed polymorph = 123 meV per atom
1.0
1.645 -2.401 0.000
1.645 2.401 0.000
0.000 0.000 9.119
Al Te Mo
1 1 2
Direct
0.000 0.000 0.000
0.500 0.500 0.297
0.000 0.000 0.557
0.500 0.500 0.775

3.
AlTeMo2 SCAN PBEsol geometry; energy relative to the elements, uncorrected = 0.23 eV/atom; space-group type = R3m (160); M_tot = 0.000 μB per formula unit; ΔE to the lowest computed polymorph = 0 meV per atom
1.0
1.579 0.912 8.336
-1.579 0.912 8.336
0.000 -1.824 8.336
Al Te Mo
1 1 2
Direct
0.000 0.000 0.000
0.763 0.763 0.763
0.254 0.254 0.254
0.514 0.514 0.514

What is the energy relative to the elements, uncorrected in the third record? 0.23 eV/atom